DFT (GGA-PBE) results for an optimized crystal structure of Pm2AgS.

The calculation puts the uncorrected formation energy at -99 kJ/mol of atoms. The calculation puts the distance to the lowest polymorph of the same formula at 103 meV per atom. As for the symmetry: R3m (160).

```
Pm2AgS
1.0
-1.6875 -1.2221 -3.4091
-2.6688 -2.9729 0.0455
-6.9883 3.5862 -0.1676
Pm Ag S
2 1 1
Cartesian
-5.7835 2.5014 -0.3751
-2.6678 -0.3038 -0.9118
-5.6804 -0.2971 -1.7642
-9.8736 0.7725 -2.4132
```


DFT (GGA-PBE) results for an optimized crystal structure of Pm4Ag2S.

The calculation puts the uncorrected formation energy at -52 kJ/mol of atoms. As for the symmetry: I4/mmm (139).

```
Pm4Ag2S
1.0
-2.3518 4.5927 -1.4674
-4.7383 -2.5033 -0.2409
2.3316 0.5767 7.8733
S Ag Pm
1 2 4
Cartesian
0.0000 0.0000 0.0000
-3.8150 1.4054 0.7075
-0.9435 1.2606 5.4575
-4.2966 2.0489 3.4932
-0.4619 0.6172 2.6718
-2.3692 -1.2517 -0.1204
-1.1759 2.2963 -0.7337
```


DFT (GGA-PBE) results for an optimized crystal structure of PmAgS2.

The calculation puts the uncorrected formation energy at -123 kJ/mol of atoms. As for the symmetry: R-3m (166).

```
PmAgS2
1.0
4.2414 0.0000 0.0000
2.1207 3.6732 0.0000
2.1207 1.2244 7.5547
S Ag Pm
2 1 1
Cartesian
2.1207 1.2244 5.1956
6.3622 3.6732 2.3591
0.0000 0.0000 0.0000
4.2414 2.4488 3.7773
```


DFT (GGA-PBE) results for an optimized crystal structure of PmAgS2.

The calculation puts the uncorrected formation energy at -126 kJ/mol of atoms. As for the symmetry: Pnma (62).

```
PmAgS2
1.0
4.2077 0.0000 0.0000
0.0000 6.6942 0.0000
0.0000 0.0000 13.8869
Pm Ag S
4 4 8
Cartesian
3.1558 3.3879 1.8895
1.0519 3.3064 11.9975
1.0519 0.0408 5.0540
3.1558 6.6535 8.8330
1.0519 2.6673 7.8152
3.1558 6.0144 13.0152
3.1558 4.0270 6.0717
1.0519 0.6799 0.8718
1.0519 1.9791 3.0213
3.1558 4.7152 10.8656
3.1558 5.3262 3.9222
1.0519 1.3680 9.9648
1.0519 4.8332 0.5290
1.0519 5.2081 7.4724
3.1558 1.4861 6.4145
3.1558 1.8610 13.3580
```


DFT (GGA-PBE) results for an optimized crystal structure of PmAg3S3.

The calculation puts the uncorrected formation energy at -72 kJ/mol of atoms. As for the symmetry: R-3 (148).

```
PmAg3S3
1.0
7.3282 0.0000 0.0000
3.6641 6.3464 0.0000
3.6641 2.1155 6.7563
Pm Ag S
2 6 6
Cartesian
7.3282 4.2310 6.7437
7.3282 4.2310 0.0126
8.5014 6.4028 4.2850
8.6226 2.1291 4.2850
4.8608 4.1610 4.2850
9.7957 4.3009 2.4712
6.0339 6.3329 2.4712
6.1551 2.0591 2.4712
4.9251 4.1355 1.5432
8.6125 2.1975 1.5432
8.4472 6.3599 1.5432
6.2093 2.1020 5.2131
6.0440 6.2644 5.2131
9.7314 4.3264 5.2131
```


DFT (GGA-PBE) results for an optimized crystal structure of Pm2AgS.

The calculation puts the uncorrected formation energy at -102 kJ/mol of atoms. The calculation puts the distance to the lowest polymorph of the same formula at 76 meV per atom. As for the symmetry: R-3m (166).

```
Pm2AgS
1.0
4.0827 0.0000 0.0000
2.0414 3.5358 0.0000
2.0414 1.1786 7.2078
S Ag Pm
1 1 2
Cartesian
0.0000 0.0000 0.0000
4.0827 2.3572 3.6039
2.0414 1.1786 1.5933
6.1241 3.5357 5.6145
```